Below is a relaxed AlSnMo2C crystal, with properties calculated at the PBE level.

Geometry as CIF:
```
data_AlSnMo2C
_cell_length_a 4.175
_cell_length_b 4.175
_cell_length_c 4.640
_cell_angle_alpha 90.00
_cell_angle_beta 90.00
_cell_angle_gamma 90.00
_space_group_name_H-M_alt 'P 4/m m m'
_space_group_IT_number 123
_space_group_name_Hall '-P 4 2'
loop_
_atom_site_label
_atom_site_fract_x
_atom_site_fract_y
_atom_site_fract_z
Al1 0.000 0.000 0.000
Sn1 0.500 0.500 0.000
Mo1 0.000 0.500 0.500
C1 0.500 0.500 0.500
```

Values from the calculation:
Total DFT energy (no corrections) = -7.13 eV per atom
Calculated volume = 80.9 Å³ per cell
Formation energy from the elements = 57.08 kJ per mole of atoms

---

Below is a relaxed AlTc2MoC crystal, with properties calculated at the PBE level.

Geometry as CIF:
```
data_AlTc2MoC
_cell_length_a 4.089
_cell_length_b 4.089
_cell_length_c 4.106
_cell_angle_alpha 90.00
_cell_angle_beta 90.00
_cell_angle_gamma 90.00
_space_group_name_H-M_alt 'P 4/m m m'
_space_group_IT_number 123
_space_group_name_Hall '-P 4 2'
loop_
_atom_site_label
_atom_site_fract_x
_atom_site_fract_y
_atom_site_fract_z
Al1 0.000 0.000 0.000
Tc1 0.000 0.500 0.500
Mo1 0.500 0.500 0.000
C1 0.500 0.500 0.500
```

Values from the calculation:
Total DFT energy (no corrections) = -8.90 eV per atom
Calculated volume = 68.6 Å³ per cell
Formation energy from the elements = 0.18 kJ per mole of atoms